# 1
# Re2HgI

Crystalline Re2HgI at its relaxed geometry (PBE-GGA, the Alexandria database).

It has space group I-42d (No. 122), with a = 4.325 Å, b = 4.325 Å, c = 19.041 Å, α = 90.00°, β = 90.00° and γ = 90.00°. The inequivalent atoms are Re at (0.154, 0.250, 0.125), Hg at (0.000, 0.000, 0.500) and I at (0.000, 0.000, 0.000).

As for the polymorph energy (0 for the lowest one): 0.000 eV per atom. The value obtained for the total energy is -5.20 eV per atom.

---

# 2
# DyHoTe2

Crystalline DyHoTe2 at its relaxed geometry (PBE-GGA, the Alexandria database).

It has space group Pm (No. 6), with a = 6.833 Å, b = 4.450 Å, c = 9.722 Å, α = 90.00°, β = 90.04° and γ = 90.00°. The inequivalent atoms are Dy at (0.000, 0.000, 0.000), Dy at (0.500, 0.500, 0.355), Ho at (0.341, 0.500, 0.763), Ho at (0.842, 0.000, 0.593), Te at (0.119, 0.500, 0.503), Te at (0.258, 0.500, 0.087), Te at (0.618, 0.000, 0.852) and Te at (0.759, 0.000, 0.268).

As for the polymorph energy (0 for the lowest one): 0.381 eV per atom. The value obtained for the total energy is -4.78 eV per atom.

---

# 3
# Dy3HoRu3

Crystalline Dy3HoRu3 at its relaxed geometry (PBE-GGA, the Alexandria database).

It has space group C2/m (No. 12), with a = 9.648 Å, b = 9.615 Å, c = 6.729 Å, α = 90.00°, β = 90.11° and γ = 90.00°. The inequivalent atoms are Dy at (0.000, 0.246, 0.000), Dy at (0.000, 0.248, 0.500), Dy at (0.246, 0.000, 0.001), Ho at (0.244, 0.000, 0.501), Ru at (0.000, 0.000, 0.250) and Ru at (0.250, 0.250, 0.250).

The calculation puts the formation energy from the elements at -34 kJ/mol of atoms. As for the polymorph energy (0 for the lowest one): 0.024 eV per atom. The value obtained for the total energy is -6.95 eV per atom.